# CsTlN2F, relaxed, DFT PBE
data_CsTlN2F
_chemical_formula_sum 'Cs1 Tl1 N2 F1'
_space_group_name_H-M_alt 'P 4/m m m'
_space_group_IT_number 123
_space_group_name_Hall '-P 4 2'
_cell_length_a 4.517
_cell_length_b 4.517
_cell_length_c 5.063
_cell_angle_alpha 90.00
_cell_angle_beta 90.00
_cell_angle_gamma 90.00
loop_
_atom_site_label
_atom_site_type_symbol
_atom_site_fract_x
_atom_site_fract_y
_atom_site_fract_z
Cs1 Cs 0.000 0.000 0.000
Tl1 Tl 0.500 0.500 0.500
N1 N 0.000 0.500 0.500
F1 F 0.500 0.500 0.000
# DOS(E_F) in states/eV/atom: 0.420
# Total DFT energy (no corrections) in eV/atom: -3.8611
# Energy above the most stable polymorph in this dataset in eV/atom: 0.000
# Size of the total moment in μB/cell: 2.99